[1]
DFT (PBE) results for an optimized crystal structure of ZnOs2S.

Cell lengths 4.243, 4.243, 4.243 Å; angles 60.00, 60.00, 60.00 degrees
Sites, in units of the cell vectors:
S (0.000, 0.000, 0.000)
Os (0.750, 0.750, 0.750)
Zn (0.500, 0.500, 0.500)
Os (0.250, 0.250, 0.250)

Properties
space-group type	Fm-3m, No. 225
formation energy without anion corrections	63.9	kJ/mol of atoms

[2]
DFT (PBE) results for an optimized crystal structure of ZrOs3S.

Cell lengths 4.385, 4.385, 4.385 Å; angles 90.00, 90.00, 90.00 degrees
Sites, in units of the cell vectors:
Os (0.500, 0.000, 0.000)
S (0.000, 0.000, 0.000)
Os (0.000, 0.500, 0.000)
Os (0.000, 0.000, 0.500)
Zr (0.500, 0.500, 0.500)

Properties
space-group type	Pm-3m, No. 221
formation energy without anion corrections	54.7	kJ/mol of atoms
distance to the lowest polymorph of the same formula	0.00	eV/f.u.

Look up the formation energy without anion corrections of the second one. 54.7 kJ/mol of atoms